Entry 1:
First-principles (GGA-PBEsol) data for crystalline Cu3Ni at its relaxed geometry, as listed in Alexandria.

Computed properties:
The formation energy comes out at 21 meV/atom. As for the total magnetization: 0.00 μB per cell.

```
Cu3Ni
1.0
2.486 0.000 0.000
0.000 4.311 0.000
-1.243 -2.156 4.102
Ni Cu
1 3
direct
0.000 0.667 0.000
0.748 0.749 0.497
0.252 0.252 0.503
0.500 0.166 0.000
```

***

Entry 2:
First-principles (GGA-PBEsol) data for crystalline BeAlCl2 at its relaxed geometry, as listed in Alexandria.

Computed properties:
As for the total magnetization: 0.00 μB per cell. The relative energy among the computed polymorphs comes out at 2.26 eV/f.u. Its uncorrected formation energy is 0.20 eV per atom.

```
BeAlCl2
1.0
-2.691 1.852 -1.643
-0.905 -2.995 -1.892
-1.862 -0.994 5.996
Be Al Cl
1 1 2
direct
0.250 0.750 0.500
0.500 0.500 0.000
0.000 0.000 0.000
0.750 0.250 0.500
```

***

Entry 3:
First-principles (GGA-PBEsol) data for crystalline BePd2Pb2 at its relaxed geometry, as listed in Alexandria.

Computed properties:
The formation energy comes out at 351 meV/atom. As for the total magnetization: 0.00 μB per cell.

```
BePd2Pb2
1.0
-0.970 -2.962 2.034
2.430 -2.093 -1.889
4.558 4.198 4.881
Pb Be Pd
2 1 2
direct
0.393 0.393 0.785
0.607 0.607 0.215
0.000 0.000 0.000
0.250 0.750 0.500
0.750 0.250 0.500
```

***

Entry 4:
First-principles (GGA-PBEsol) data for crystalline CoNiRh2 at its relaxed geometry, as listed in Alexandria.

Computed properties:
The formation energy comes out at 72 meV/atom. As for the total magnetization: 2.52 μB per cell. The relative energy among the computed polymorphs comes out at 0.05 eV/f.u.

```
CoNiRh2
1.0
-0.228 -1.272 2.262
3.504 0.570 0.674
-1.172 4.414 2.364
Ni Rh Co
1 2 1
direct
0.500 0.500 0.742
0.000 0.000 0.991
0.500 0.500 0.259
0.000 0.000 0.507
```

***

Entry 5:
First-principles (GGA-PBEsol) data for crystalline LaTeP2O at its relaxed geometry, as listed in Alexandria.

Computed properties:
As for the total magnetization: 0.00 μB per cell. Its uncorrected formation energy is -0.50 eV per atom.

```
LaTeP2O
1.0
4.102 0.000 0.000
0.000 5.034 0.000
0.000 0.000 5.034
P Te O La
2 1 1 1
direct
0.000 0.000 0.500
0.000 0.500 0.000
0.000 0.000 0.000
0.500 0.000 0.000
0.500 0.500 0.500
```

***

Entry 6:
First-principles (GGA-PBEsol) data for crystalline Cd4As2Cl3 at its relaxed geometry, as listed in Alexandria.

Computed properties:
As for the total magnetization: 0.00 μB per cell. Its uncorrected formation energy is -0.55 eV per atom.

```
Cd4As2Cl3
1.0
-10.583 5.304 3.690
3.463 -1.323 11.832
5.455 11.129 -0.352
Cd As Cl
32 16 24
direct
0.978 0.244 0.023
0.022 0.756 0.977
0.522 0.756 0.523
0.022 0.744 0.477
0.023 0.978 0.244
0.478 0.244 0.477
0.978 0.256 0.523
0.977 0.022 0.756
0.478 0.256 0.977
0.523 0.522 0.756
0.522 0.744 0.023
0.477 0.478 0.244
0.477 0.022 0.744
0.523 0.978 0.256
0.977 0.478 0.256
0.023 0.522 0.744
0.244 0.023 0.978
0.756 0.977 0.022
0.744 0.477 0.022
0.256 0.523 0.978
0.256 0.977 0.478
0.744 0.023 0.522
0.756 0.523 0.522
0.244 0.477 0.478
0.221 0.221 0.221
0.779 0.779 0.779
0.279 0.779 0.721
0.779 0.721 0.279
0.721 0.221 0.279
0.221 0.279 0.721
0.721 0.279 0.779
0.279 0.721 0.221
0.444 0.444 0.444
0.556 0.556 0.556
0.056 0.556 0.944
0.556 0.944 0.056
0.944 0.444 0.056
0.444 0.056 0.944
0.944 0.056 0.556
0.056 0.944 0.444
0.102 0.102 0.102
0.898 0.898 0.898
0.398 0.898 0.602
0.898 0.602 0.398
0.602 0.102 0.398
0.102 0.398 0.602
0.602 0.398 0.898
0.398 0.602 0.102
0.184 0.424 0.270
0.816 0.576 0.730
0.316 0.576 0.770
0.816 0.924 0.230
0.270 0.184 0.424
0.684 0.424 0.230
0.184 0.076 0.770
0.730 0.816 0.576
0.684 0.076 0.730
0.770 0.316 0.576
0.316 0.924 0.270
0.230 0.684 0.424
0.230 0.816 0.924
0.770 0.184 0.076
0.730 0.684 0.076
0.270 0.316 0.924
0.424 0.270 0.184
0.576 0.730 0.816
0.924 0.230 0.816
0.076 0.770 0.184
0.076 0.730 0.684
0.924 0.270 0.316
0.576 0.770 0.316
0.424 0.230 0.684
```

***

Entry 7:
First-principles (GGA-PBEsol) data for crystalline Li5La5Si4N12 at its relaxed geometry, as listed in Alexandria.

Computed properties:
As for the total magnetization: 0.00 μB per cell. Its uncorrected formation energy is -1.34 eV per atom.

```
Li5La5Si4N12
1.0
5.563 0.000 0.000
0.000 10.970 0.000
0.000 0.000 10.970
Li La Si N
10 10 8 24
direct
0.854 0.292 0.886
0.854 0.208 0.386
0.854 0.708 0.114
0.854 0.792 0.614
0.146 0.886 0.708
0.146 0.614 0.208
0.146 0.114 0.292
0.146 0.386 0.792
0.000 0.500 0.000
0.000 0.000 0.500
0.732 0.377 0.618
0.732 0.123 0.118
0.732 0.623 0.382
0.732 0.877 0.882
0.268 0.618 0.623
0.268 0.882 0.123
0.268 0.382 0.377
0.268 0.118 0.877
0.500 0.500 0.000
0.500 0.000 0.500
0.763 0.610 0.767
0.763 0.890 0.267
0.763 0.390 0.233
0.763 0.110 0.733
0.237 0.767 0.390
0.237 0.733 0.890
0.237 0.233 0.610
0.237 0.267 0.110
0.804 0.468 0.833
0.804 0.032 0.333
0.804 0.532 0.167
0.804 0.968 0.667
0.196 0.833 0.532
0.196 0.667 0.032
0.196 0.167 0.468
0.196 0.333 0.968
0.733 0.605 0.607
0.733 0.895 0.107
0.733 0.395 0.393
0.733 0.105 0.893
0.267 0.607 0.395
0.267 0.893 0.895
0.267 0.393 0.605
0.267 0.107 0.105
0.000 0.214 0.714
0.000 0.286 0.214
0.000 0.786 0.286
0.000 0.714 0.786
0.500 0.672 0.828
0.500 0.828 0.328
0.500 0.328 0.172
0.500 0.172 0.672
```

***

Entry 8:
First-principles (GGA-PBEsol) data for crystalline CaMo2Br at its relaxed geometry, as listed in Alexandria.

Computed properties:
As for the total magnetization: 0.00 μB per cell. The relative energy among the computed polymorphs comes out at 1.79 eV/f.u. Its uncorrected formation energy is 0.99 eV per atom.

```
CaMo2Br
1.0
-1.622 0.730 3.166
-0.339 -3.557 0.647
5.367 -0.011 2.753
Mo Ca Br
2 1 1
direct
0.000 0.000 0.813
0.000 0.000 0.187
0.500 0.500 0.500
0.500 0.500 0.000
```